9
Lattice="5.071 0.000 0.000 0.000 5.537 0.000 0.000 -2.769 4.796" Properties=species:S:1:pos:R:3 comment="NaSrFeF6 | Alexandria | PBE with a Hubbard U | optimized geometry" vol_a3_per_atom=14.96 total_magnetization_mub_per_cell=1.0 rho_g_cm3=3.458 dos_at_fermi_per_ev_atom=0.0000 energy_ev_per_cell=-45.1 pbc="T T T"
Na 2.536 2.769 1.599
Sr 0.000 0.000 3.197
Fe 2.536 0.000 0.000
F 3.621 1.980 3.428
F 3.621 1.578 0.001
F 3.621 4.748 1.366
F 1.450 0.790 1.366
F 1.450 3.959 0.001
F 1.450 3.557 3.428